[1]
VASP calculation (GGA-PBE) on CeZr7Tl4 after structural relaxation.

## Properties
Uncorrected energy: -145.47 eV for the cell shown
Formation enthalpy at 0 K: 0.21 eV per atom

Unit cell a=11.378 b=5.400 c=11.241 alpha=90.00 beta=119.74 gamma=90.00
Space group C2/m (No. 12)
Inequivalent atoms, fractional coordinates:
Ce  0.000  0.000  0.000 [2 per cell]
Zr  0.000  0.500  0.000 [2 per cell]
Zr  0.040  0.000  0.383 [4 per cell]
Zr  0.145  0.500  0.552 [4 per cell]
Zr  0.215  0.000  0.906 [4 per cell]
Tl  0.092  0.500  0.781 [4 per cell]
Tl  0.216  0.500  0.319 [4 per cell]


[2]
VASP calculation (GGA-PBE) on NaAsBr2Cl after structural relaxation.

## Properties
Uncorrected energy: -9.87 eV for the cell shown
E above lowest polymorph: 0.243 eV/atom

Unit cell a=5.122 b=5.122 c=8.481 alpha=90.00 beta=90.00 gamma=90.00
Space group P4/mmm (No. 123)
Inequivalent atoms, fractional coordinates:
Na  0.000  0.000  0.000 [1 per cell]
As  0.000  0.000  0.500 [1 per cell]
Br  0.000  0.500  0.000 [2 per cell]
Cl  0.500  0.500  0.500 [1 per cell]


[3]
VASP calculation (GGA-PBE) on PrHfBeN3 after structural relaxation.

## Properties
Uncorrected energy: -103.75 eV for the cell shown

Unit cell a=6.922 b=3.258 c=6.989 alpha=90.00 beta=104.28 gamma=90.00
Space group P2_1/m (No. 11)
Inequivalent atoms, fractional coordinates:
Pr  0.229  0.250  0.192 [2 per cell]
Hf  0.167  0.250  0.664 [2 per cell]
Be  0.400  0.750  0.922 [2 per cell]
N  0.145  0.750  0.872 [2 per cell]
N  0.164  0.750  0.444 [2 per cell]
N  0.479  0.250  0.833 [2 per cell]


[4]
VASP calculation (GGA-PBE) on MgAlCo2Br after structural relaxation.

## Properties
Uncorrected energy: -14.94 eV for the cell shown

Unit cell a=4.696 b=4.696 c=5.160 alpha=90.00 beta=90.00 gamma=90.00
Space group P4/mmm (No. 123)
Inequivalent atoms, fractional coordinates:
Mg  0.000  0.000  0.000 [1 per cell]
Al  0.000  0.000  0.500 [1 per cell]
Co  0.000  0.500  0.000 [2 per cell]
Br  0.500  0.500  0.500 [1 per cell]


[5]
VASP calculation (GGA-PBE) on PrEr3Tl4 after structural relaxation.

## Properties
Uncorrected energy: -61.12 eV for the cell shown
E above lowest polymorph: 0.000 eV/atom
Formation enthalpy at 0 K: -0.33 eV per atom

Unit cell a=10.816 b=7.579 c=5.407 alpha=90.00 beta=90.00 gamma=90.00
Space group Pmma (No. 51)
Inequivalent atoms, fractional coordinates:
Pr  0.000  0.000  0.000 [2 per cell]
Er  0.000  0.500  0.000 [2 per cell]
Er  0.250  0.000  0.499 [2 per cell]
Er  0.250  0.500  0.499 [2 per cell]
Tl  0.000  0.259  0.500 [4 per cell]
Tl  0.250  0.259  0.999 [4 per cell]


[6]
VASP calculation (GGA-PBE) on Er2Zn6Cu3 after structural relaxation.

## Properties
Uncorrected energy: -31.32 eV for the cell shown
Formation enthalpy at 0 K: -0.21 eV per atom

Unit cell a=7.3729 b=7.3729 c=4.0278 alpha=90.00 beta=90.00 gamma=120.00
Space group P-62m (No. 189)
Inequivalent atoms, fractional coordinates:
Er  0.3333  0.6667  0.0000 [2 per cell]
Zn  0.0000  0.2771  0.5000 [3 per cell]
Zn  0.0000  0.7986  0.0000 [3 per cell]
Cu  0.0000  0.6057  0.5000 [3 per cell]


[7]
VASP calculation (GGA-PBE) on Pm3Dy6Ho2Tl after structural relaxation.

## Properties
Uncorrected energy: -107.04 eV for the cell shown
Formation enthalpy at 0 K: -0.01 eV per atom

Unit cell a=6.141 b=10.644 c=11.662 alpha=90.00 beta=100.18 gamma=90.00
Space group C2/m (No. 12)
Inequivalent atoms, fractional coordinates:
Pm  0.000  0.000  0.000 [2 per cell]
Pm  0.000  0.333  0.000 [4 per cell]
Dy  0.245  0.336  0.744 [8 per cell]
Dy  0.248  0.500  0.254 [4 per cell]
Ho  0.000  0.166  0.500 [4 per cell]
Tl  0.000  0.500  0.500 [2 per cell]


[8]
VASP calculation (GGA-PBE) on TcRu after structural relaxation.

## Properties
Uncorrected energy: -39.02 eV for the cell shown
E above lowest polymorph: 0.134 eV/atom
Formation enthalpy at 0 K: 0.07 eV per atom

Unit cell a=2.718 b=2.718 c=7.754 alpha=90.00 beta=90.00 gamma=90.00
Space group P4/nmm (No. 129, origin choice 2)
Inequivalent atoms, fractional coordinates:
Tc  0.250  0.250  0.134 [2 per cell]
Ru  0.250  0.250  0.629 [2 per cell]